Record 1
The following is a GGA-PBE calculation of crystalline NiBr3 at its relaxed geometry, from Alexandria via LeMat-Bulk.

The space group is Pm-3m (No. 221) and the conventional cell measures 4.919, 4.919 and 4.919 Å, with angles of 90.00, 90.00 and 90.00 degrees. The inequivalent atoms are Ni at (0.000, 0.000, 0.000) and Br at (0.000, 0.000, 0.500).

The value obtained for the volume is 119.00 Å³/f.u. As for the total energy: -10.79 eV/f.u. Its formation energy without anion corrections is 0.00 eV per atom.

Record 2
The following is a GGA-PBE calculation of crystalline CeTmGa4 at its relaxed geometry, from Alexandria via LeMat-Bulk.

The space group is F-43m (No. 216) and the conventional cell measures 7.831, 7.831 and 7.831 Å, with angles of 90.00, 90.00 and 90.00 degrees. The inequivalent atoms are Ce at (0.000, 0.000, 0.000), Tm at (0.250, 0.250, 0.750) and Ga at (0.125, 0.125, 0.375).

As for the polymorph energy (0 for the lowest one): 0.103 eV per atom. The value obtained for the volume is 120.04 Å³/f.u. As for the total energy: -25.47 eV/f.u.

Record 3
The following is a GGA-PBE calculation of crystalline Pm8Ge3RuI4 at its relaxed geometry, from Alexandria via LeMat-Bulk.

The space group is R-3m (No. 166, hexagonal axes) and the conventional cell measures 8.6394, 8.6394 and 23.1102 Å, with angles of 90.00, 90.00 and 120.00 degrees. The inequivalent atoms are Pm at (0.0000, 0.0000, 0.2334), Pm at (0.0152, 0.5076, 0.2303), Ge at (0.0000, 0.5000, 0.5000), Ru at (0.0000, 0.0000, 0.5000), I at (0.0000, 0.0000, 0.0000) and I at (0.0000, 0.5000, 0.0000).

The value obtained for the volume is 497.91 Å³/f.u. As for the total energy: -81.92 eV/f.u. Its formation energy without anion corrections is -0.91 eV per atom.